# 1
## KMo2As2 (GGA-PBE)

Data for KMo2As2 after structural relaxation.

The space group is P4/mmm (No. 123) and the conventional cell measures 3.796, 3.796 and 7.897 Å, with angles of 90.00, 90.00 and 90.00 degrees. The distinct sites, in fractional coordinates, are K at (0.000, 0.000, 0.000), Mo at (0.000, 0.500, 0.500) and As at (0.500, 0.500, 0.265).

The magnetic moment comes out at 0.00 μB/atom. Its density of states at the Fermi level is 3.365 states/eV/cell. The final energy is -6.5182 eV/atom. The calculation puts the theoretical density at 5.556 g cm⁻³. The formation enthalpy at 0 K comes out at -0.53 eV/f.u. The excess energy over the best structure of this formula in the dataset is 191 meV/atom.

# 2
## Pu2CdHg12 (GGA-PBE)

Data for Pu2CdHg12 after structural relaxation.

The space group is P4/nbm (No. 125, origin choice 2) and the conventional cell measures 6.121, 6.121 and 21.796 Å, with angles of 90.00, 90.00 and 90.00 degrees. The distinct sites, in fractional coordinates, are Pu at (0.250, 0.750, 0.224), Cd at (0.250, 0.750, 0.500), Hg at (0.001, 0.501, 0.400), Hg at (0.068, 0.568, 0.064), Hg at (0.250, 0.250, 0.161) and Hg at (0.250, 0.250, 0.298).

The magnetic moment comes out at 0.81 μB/atom. Its density of states at the Fermi level is 70.568 states/eV/cell. The final energy is -2.1617 eV/atom. The calculation puts the theoretical density at 12.229 g cm⁻³. The formation enthalpy at 0 K comes out at 0.78 eV/f.u.

# 3
## ErZn3Au4 (GGA-PBE)

Data for ErZn3Au4 after structural relaxation.

The space group is R-3m (No. 166, hexagonal axes) and the conventional cell measures 4.5287, 4.5287 and 24.5299 Å, with angles of 90.00, 90.00 and 120.00 degrees. The distinct sites, in fractional coordinates, are Er at (0.0000, 0.0000, 0.0000), Zn at (0.0000, 0.0000, 0.2487), Zn at (0.0000, 0.0000, 0.5000), Au at (0.0000, 0.0000, 0.1296) and Au at (0.0000, 0.0000, 0.3918).

The magnetic moment comes out at 0.00 μB/atom. Its density of states at the Fermi level is 6.200 states/eV/cell. The final energy is -3.1078 eV/atom. The calculation puts the theoretical density at 13.164 g cm⁻³. The formation enthalpy at 0 K comes out at -3.37 eV/f.u.

# 4
## Cd3NiP (GGA-PBE)

Data for Cd3NiP after structural relaxation.

The space group is Pm-3m (No. 221) and the conventional cell measures 4.882, 4.882 and 4.882 Å, with angles of 90.00, 90.00 and 90.00 degrees. The distinct sites, in fractional coordinates, are Cd at (0.000, 0.000, 0.500), Ni at (0.000, 0.000, 0.000) and P at (0.500, 0.500, 0.500).

The magnetic moment comes out at 0.00 μB/atom. Its density of states at the Fermi level is 3.379 states/eV/cell. The final energy is -2.2130 eV/atom. The calculation puts the theoretical density at 6.091 g cm⁻³. The formation enthalpy at 0 K comes out at 2.87 eV/f.u. The excess energy over the best structure of this formula in the dataset is 0 meV/atom.

# 5
## Tb2Sm3Er7 (GGA-PBE)

Data for Tb2Sm3Er7 after structural relaxation.

The space group is P2/m (No. 10) and the conventional cell measures 5.781, 3.548 and 18.663 Å, with angles of 90.00, 93.19 and 90.00 degrees. The distinct sites, in fractional coordinates, are Tb at (0.210, 0.000, 0.292), Sm at (0.000, 0.000, 0.000), Sm at (0.277, 0.500, 0.633), Er at (0.190, 0.500, 0.143), Er at (0.243, 0.000, 0.462), Er at (0.308, 0.000, 0.825) and Er at (0.500, 0.500, 0.000).

The magnetic moment comes out at 0.00 μB/atom. Its density of states at the Fermi level is 14.704 states/eV/cell. The final energy is -4.5247 eV/atom. The calculation puts the theoretical density at 8.426 g cm⁻³. The formation enthalpy at 0 K comes out at 1.06 eV/f.u. The excess energy over the best structure of this formula in the dataset is 0 meV/atom.

# 6
## ZrW4Au (GGA-PBE)

Data for ZrW4Au after structural relaxation.

The space group is F-43m (No. 216) and the conventional cell measures 7.571, 7.571 and 7.571 Å, with angles of 90.00, 90.00 and 90.00 degrees. The distinct sites, in fractional coordinates, are Zr at (0.000, 0.000, 0.000), W at (0.125, 0.125, 0.375) and Au at (0.250, 0.250, 0.750).

The magnetic moment comes out at 0.00 μB/atom. Its density of states at the Fermi level is 31.946 states/eV/cell. The final energy is -10.3277 eV/atom. The calculation puts the theoretical density at 15.664 g cm⁻³. The formation enthalpy at 0 K comes out at 1.67 eV/f.u.

# 7
## Pm8DyHo3 (GGA-PBE)

Data for Pm8DyHo3 after structural relaxation.

The space group is P-1 (No. 2) and the conventional cell measures 6.250, 7.240 and 9.530 Å, with angles of 79.01, 77.29 and 73.11 degrees. The distinct sites, in fractional coordinates, are Pm at (0.001, 0.333, 0.167), Pm at (0.001, 0.833, 0.167), Pm at (0.499, 0.167, 0.333), Pm at (0.499, 0.667, 0.333), Dy at (0.000, 0.000, 0.500), Ho at (0.000, 0.500, 0.500), Ho at (0.500, 0.000, 0.000) and Ho at (0.500, 0.500, 0.000).

The magnetic moment comes out at 0.00 μB/atom. Its density of states at the Fermi level is 15.426 states/eV/cell. The final energy is -4.6817 eV/atom. The calculation puts the theoretical density at 7.568 g cm⁻³. The formation enthalpy at 0 K comes out at 0.16 eV/f.u.

# 8
## HoTlAg (GGA-PBE)

Data for HoTlAg after structural relaxation.

The space group is C2/m (No. 12) and the conventional cell measures 12.044, 3.403 and 7.725 Å, with angles of 90.00, 102.04 and 90.00 degrees. The distinct sites, in fractional coordinates, are Ho at (0.179, 0.000, 0.162), Tl at (0.054, 0.500, 0.809) and Ag at (0.148, 0.500, 0.480).

The magnetic moment comes out at 0.00 μB/atom. Its density of states at the Fermi level is 7.788 states/eV/cell. The final energy is -3.3492 eV/atom. The calculation puts the theoretical density at 10.234 g cm⁻³. The formation enthalpy at 0 K comes out at -0.25 eV/f.u.